4
Lattice="4.185 -2.417 0.000 4.185 2.417 0.000 -2.796 0.000 5.133" Properties=species:S:1:pos:R:3 comment="Na2InGa PBE-GGA relaxed" delta_e_f_kj_per_mol_fu=-37 final_energy_ev_per_atom=-2.20 relative_energy_ev_per_fu=0.00 magmom_total_mub_per_fu=0.0 density_g_cm3=3.69 pbc="T T T"
Na 0.000 0.000 0.000
Na -0.002 0.000 3.515
In 2.789 0.000 1.892
Ga 5.579 0.000 1.650

---

3
Lattice="2.896 0.000 0.000 -1.448 2.508 0.000 0.000 0.000 7.155" Properties=species:S:1:pos:R:3 comment="BeIrBr PBE-GGA relaxed" final_energy_ev_per_atom=-4.46 relative_energy_ev_per_fu=1.77 magmom_total_mub_per_fu=0.0 density_g_cm3=8.98 pbc="T T T"
Be 0.000 0.000 0.000
Ir 1.448 0.836 5.586
Br 0.000 1.672 1.866

---

Number 1: density of states at the Fermi level 1.15 states/eV per cell. Number 2: density of states at the Fermi level 2.87 states/eV per cell.